# 1
This record from the Alexandria database describes a relaxed structure of ReBiTe2. The functional is GGA-PBE.

Lattice parameters (Å, degrees): 12.722 12.722 12.722 14.27 14.27 14.27
Fractional positions:
Re1 0.000 0.000 0.000
Bi1 0.500 0.500 0.500
Te1 0.069 0.069 0.069
Te2 0.931 0.931 0.931

Results
The calculation puts the uncorrected formation energy at 0.84 eV per atom. Its symmetry is R-3m (166). The calculation puts the volume at 27.2 Å³/atom. As for the density of states at the Fermi level: 3.4 states/eV/f.u. The total moment comes out at 0.00 μB/cell.

=====

# 2
This record from the Alexandria database describes a relaxed structure of Pm4Pr10Th. The functional is GGA-PBE.

Lattice parameters (Å, degrees): 9.098 9.098 9.098 111.90 111.90 104.72
Fractional positions:
Pm1 0.060 0.720 0.780
Pm2 0.280 0.060 0.340
Pm3 0.720 0.940 0.660
Pm4 0.940 0.280 0.220
Pr1 0.105 0.209 0.657
Pr2 0.209 0.553 0.104
Pr3 0.250 0.750 0.500
Pr4 0.447 0.552 0.657
Pr5 0.448 0.105 0.896
Pr6 0.552 0.895 0.104
Pr7 0.553 0.448 0.343
Pr8 0.750 0.250 0.500
Pr9 0.791 0.447 0.896
Pr10 0.895 0.791 0.343
Th1 0.500 0.500 0.000

Results
Its symmetry is I4/m (87). The calculation puts the volume at 38.4 Å³/atom. As for the electronic total energy: -4.53 eV/atom. As for the density of states at the Fermi level: 26.9 states/eV/f.u. The total moment comes out at 0.00 μB/cell.

=====

# 3
This record from the Alexandria database describes a relaxed structure of BaSm6Se8. The functional is GGA-PBE.

Lattice parameters (Å, degrees): 8.112 8.112 8.112 93.12 93.12 93.12
Fractional positions:
Ba1 0.000 0.000 0.000
Sm1 0.192 0.565 0.394
Sm2 0.394 0.192 0.565
Sm3 0.435 0.606 0.808
Sm4 0.565 0.394 0.192
Sm5 0.606 0.808 0.435
Sm6 0.808 0.435 0.606
Se1 0.142 0.383 0.709
Se2 0.242 0.242 0.242
Se3 0.291 0.858 0.617
Se4 0.383 0.709 0.142
Se5 0.617 0.291 0.858
Se6 0.709 0.142 0.383
Se7 0.758 0.758 0.758
Se8 0.858 0.617 0.291

Results
The calculation puts the uncorrected formation energy at -1.64 eV per atom. Its symmetry is R-3 (148). The calculation puts the volume at 35.4 Å³/atom. As for the density of states at the Fermi level: 6.1 states/eV/f.u. The total moment comes out at 1.80 μB/cell.

=====

# 4
This record from the Alexandria database describes a relaxed structure of AlMo4Rh. The functional is GGA-PBE.

Lattice parameters (Å, degrees): 5.180 5.180 5.180 60.00 60.00 60.00
Fractional positions:
Al1 0.000 0.000 0.000
Mo1 0.122 0.626 0.626
Mo2 0.626 0.122 0.626
Mo3 0.626 0.626 0.122
Mo4 0.626 0.626 0.626
Rh1 0.250 0.250 0.250

Results
Its symmetry is F-43m (216). The calculation puts the volume at 16.4 Å³/atom. As for the electronic total energy: -8.83 eV/atom. As for the density of states at the Fermi level: 4.1 states/eV/f.u. The total moment comes out at 0.00 μB/cell.

=====

# 5
This record from the Alexandria database describes a relaxed structure of LaTa2Se. The functional is GGA-PBE.

Lattice parameters (Å, degrees): 4.103 4.103 5.288 90.00 90.00 90.00
Fractional positions:
La1 0.000 0.000 0.000
Ta1 0.000 0.500 0.500
Ta2 0.500 0.000 0.500
Se1 0.500 0.500 0.000

Results
The calculation puts the uncorrected formation energy at 0.20 eV per atom. Its symmetry is P4/mmm (123). The calculation puts the volume at 22.3 Å³/atom. As for the density of states at the Fermi level: 4.9 states/eV/f.u. The total moment comes out at 0.00 μB/cell.

=====

# 6
This record from the Alexandria database describes a relaxed structure of KMnCl2. The functional is GGA-PBE.

Lattice parameters (Å, degrees): 5.339 5.339 5.339 60.00 60.00 60.00
Fractional positions:
K1 0.000 0.000 0.000
Mn1 0.750 0.750 0.750
Cl1 0.250 0.250 0.250
Cl2 0.500 0.500 0.500

Results
The energy above the most stable polymorph in this dataset comes out at 0.711 eV per atom. The calculation puts the uncorrected formation energy at -0.28 eV per atom. Its symmetry is F-43m (216). The calculation puts the volume at 26.9 Å³/atom. As for the density of states at the Fermi level: 1.7 states/eV/f.u. The total moment comes out at 6.05 μB/cell.

=====

# 7
This record from the Alexandria database describes a relaxed structure of CsThSe2Cl. The functional is GGA-PBE.

Lattice parameters (Å, degrees): 9.700 4.369 9.722 90.00 105.50 90.00
Fractional positions:
Cs1 0.240 0.250 0.314
Cs2 0.760 0.750 0.686
Th1 0.338 0.250 0.830
Th2 0.662 0.750 0.170
Se1 0.349 0.750 0.042
Se2 0.356 0.750 0.643
Se3 0.644 0.250 0.357
Se4 0.651 0.250 0.958
Cl1 0.051 0.250 0.776
Cl2 0.949 0.750 0.224

Results
The calculation puts the uncorrected formation energy at -1.83 eV per atom. Its symmetry is P2_1/m (11). The calculation puts the volume at 39.7 Å³/atom. As for the density of states at the Fermi level: 0.0 states/eV/f.u. The total moment comes out at 0.00 μB/cell.

=====

# 8
This record from the Alexandria database describes a relaxed structure of CaMgAlGa2. The functional is GGA-PBE.

Lattice parameters (Å, degrees): 6.499 6.499 6.499 141.30 141.30 55.89
Fractional positions:
Ca1 0.000 0.000 0.000
Mg1 0.250 0.750 0.500
Al1 0.750 0.250 0.500
Ga1 0.392 0.392 0.000
Ga2 0.608 0.608 0.000

Results
Its symmetry is I-4m2 (119). The calculation puts the volume at 21.3 Å³/atom. As for the electronic total energy: -3.04 eV/atom. As for the density of states at the Fermi level: 1.2 states/eV/f.u. The total moment comes out at 0.00 μB/cell.

=====

# 9
This record from the Alexandria database describes a relaxed structure of TbYAs2. The functional is GGA-PBE.

Lattice parameters (Å, degrees): 7.153 7.153 7.153 33.59 33.59 33.59
Fractional positions:
Tb1 0.000 0.000 0.000
Y1 0.500 0.500 0.500
As1 0.250 0.250 0.250
As2 0.750 0.750 0.750

Results
The energy above the most stable polymorph in this dataset comes out at 0.002 eV per atom. Its symmetry is R-3m (166). The calculation puts the volume at 24.9 Å³/atom. As for the density of states at the Fermi level: 0.5 states/eV/f.u. The total moment comes out at 0.00 μB/cell.

=====

# 10
This record from the Alexandria database describes a relaxed structure of CrSb3. The functional is GGA-PBE.

Lattice parameters (Å, degrees): 4.081 5.953 4.342 90.00 90.00 90.00
Fractional positions:
Cr1 0.000 0.000 0.000
Sb1 0.000 0.500 0.036
Sb2 0.500 0.000 0.485
Sb3 0.500 0.500 0.571

Results
The energy above the most stable polymorph in this dataset comes out at 0.112 eV per atom. The calculation puts the uncorrected formation energy at 0.28 eV per atom. Its symmetry is Pmm2 (25). The calculation puts the volume at 26.4 Å³/atom. As for the density of states at the Fermi level: 2.0 states/eV/f.u. The total moment comes out at 3.35 μB/cell.

=====

# 11
This record from the Alexandria database describes a relaxed structure of RbSc2Pd. The functional is GGA-PBE.

Lattice parameters (Å, degrees): 11.934 11.934 11.934 15.84 15.84 15.84
Fractional positions:
Rb1 0.000 0.000 0.000
Sc1 0.431 0.431 0.431
Sc2 0.569 0.569 0.569
Pd1 0.500 0.500 0.500

Results
The energy above the most stable polymorph in this dataset comes out at 0.101 eV per atom. Its symmetry is R-3m (166). The calculation puts the volume at 27.6 Å³/atom. As for the density of states at the Fermi level: 4.9 states/eV/f.u. The total moment comes out at 0.00 μB/cell.

=====

# 12
This record from the Alexandria database describes a relaxed structure of TaSiSe2. The functional is GGA-PBE.

Lattice parameters (Å, degrees): 3.082 3.082 9.150 90.00 90.00 113.15
Fractional positions:
Ta1 0.000 0.000 0.000
Si1 0.000 0.000 0.500
Se1 0.500 0.500 0.218
Se2 0.500 0.500 0.782

Results
The calculation puts the uncorrected formation energy at 0.31 eV per atom. Its symmetry is Cmmm (65). The calculation puts the volume at 20.0 Å³/atom. As for the density of states at the Fermi level: 2.9 states/eV/f.u. The total moment comes out at 0.00 μB/cell.

=====

# 13
This record from the Alexandria database describes a relaxed structure of Ba3Cd2Pd4. The functional is GGA-PBE.

Lattice parameters (Å, degrees): 6.547 6.547 9.322 109.14 109.14 41.82
Fractional positions:
Ba1 0.000 0.000 0.000
Ba2 0.372 0.372 0.299
Ba3 0.628 0.628 0.701
Cd1 0.326 0.326 0.660
Cd2 0.674 0.674 0.340
Pd1 0.086 0.086 0.430
Pd2 0.279 0.279 0.935
Pd3 0.721 0.721 0.065
Pd4 0.914 0.914 0.570

Results
The energy above the most stable polymorph in this dataset comes out at 0.021 eV per atom. Its symmetry is C2/m (12). The calculation puts the volume at 27.7 Å³/atom. As for the density of states at the Fermi level: 4.0 states/eV/f.u. The total moment comes out at 0.00 μB/cell.